VASP calculation (PBE) on a relaxed structure of Rb2CdPt2.

Cell lengths 4.738, 4.738, 10.800 Å; angles 77.33, 77.33, 60.00 degrees
Positions (direct):
Pt  0.674  0.674  0.979
Pt  0.326  0.326  0.021
Rb  0.426  0.426  0.723
Rb  0.574  0.574  0.277
Cd  0.000  0.000  0.000

Raw total energy in eV per atom: -3.17
Space group: R-3m, No. 166
Polymorph energy (0 for the lowest one) in meV per atom: 0
Energy relative to the elements in kcal/mol of atoms: -4.155